[1]
The following is a DFT calculation (PBE) of crystalline TmZrN2 at its relaxed geometry.

Geometry as POSCAR:
```
TmZrN2
1.0
3.2894 0.0000 0.0000
-1.6447 2.8487 0.0000
0.0000 0.0000 11.0667
Tm Zr N
2 2 4
direct
0.3333 0.6667 0.2500
0.6667 0.3333 0.7500
0.0000 0.0000 0.0000
0.0000 0.0000 0.5000
0.3333 0.6667 0.6166
0.3333 0.6667 0.8834
0.6667 0.3333 0.1166
0.6667 0.3333 0.3834
```

Size of the total moment = 0.000 μB/f.u.
E_tot = -9.1486 eV per atom
Symmetry = P6_3/mmc, No. 194
Calculated density = 9.229 g/cm3

[2]
The following is a DFT calculation (PBE) of crystalline Tm5ZrN6 at its relaxed geometry.

Geometry as POSCAR:
```
Tm5ZrN6
1.0
2.9193 -5.0535 0.0000
2.9193 5.0535 0.0000
-1.9473 0.0000 5.5051
Tm Zr N
5 1 6
direct
0.0000 0.0000 0.0000
0.1666 0.8334 0.5000
0.3335 0.6665 0.0000
0.6665 0.3335 0.0000
0.8334 0.1666 0.5000
0.5000 0.5000 0.5000
0.0939 0.4183 0.2553
0.2573 0.2573 0.7451
0.4183 0.0939 0.2553
0.5817 0.9061 0.7447
0.7427 0.7427 0.2549
0.9061 0.5817 0.7447
```

Size of the total moment = 0.000 μB/f.u.
E_tot = -8.5715 eV per atom
Symmetry = C2/m, No. 12
Calculated density = 10.427 g/cm3

[3]
The following is a DFT calculation (PBE) of crystalline TmZr3N4 at its relaxed geometry.

Geometry as POSCAR:
```
TmZr3N4
1.0
4.6535 0.0000 0.0000
0.0000 4.6535 0.0000
0.0000 0.0000 4.6535
Tm Zr N
1 3 4
direct
0.0000 0.0000 0.0000
0.0000 0.5000 0.5000
0.5000 0.0000 0.5000
0.5000 0.5000 0.0000
0.0000 0.0000 0.5000
0.0000 0.5000 0.0000
0.5000 0.0000 0.0000
0.5000 0.5000 0.5000
```

Size of the total moment = 0.000 μB/f.u.
E_tot = -9.6544 eV per atom
Symmetry = Pm-3m, No. 221
Calculated density = 8.216 g/cm3